1.
Crystalline GdAlNO at its relaxed geometry, computed with PBE.

abc: 5.1815 7.9239 4.9958
angles: 90.00 90.00 90.00
With the nearest neighbours (Å) after each atom.
Sites, in units of the cell vectors:
Gd: 0.0106 0.1331 0.0000  5 N 2.36-2.62
Gd: 0.4894 0.1331 0.5000  5 N 2.36-2.62
Gd: 0.5106 0.8669 0.0000  5 N 2.36-2.62
Gd: 0.9894 0.8669 0.5000  5 N 2.36-2.62
Al: 0.0638 0.6131 0.9672  3 O 1.79-1.85, 1 N 1.79
Al: 0.4362 0.6131 0.4672  3 O 1.79-1.85, 1 N 1.79
Al: 0.5638 0.3869 0.9672  3 O 1.79-1.85, 1 N 1.79
Al: 0.9362 0.3869 0.4672  3 O 1.79-1.85, 1 N 1.79
N: 0.0065 0.8354 0.0003  1 Al 1.79
N: 0.4935 0.8354 0.5003  1 Al 1.79
N: 0.5065 0.1646 0.0003  1 Al 1.79
N: 0.9935 0.1646 0.5003  1 Al 1.79
O: 0.1250 0.5516 0.6164  3 Al 1.79-1.85
O: 0.3750 0.5516 0.1164  3 Al 1.79-1.85
O: 0.6250 0.4484 0.6164  3 Al 1.79-1.85
O: 0.8750 0.4484 0.1164  3 Al 1.79-1.85

Crystal system: orthorhombic
Polymorph energy (0 for the lowest one), eV per atom: 0.020
Calculated density, g/cm³: 6.9

---

2.
Crystalline GdAlNO at its relaxed geometry, computed with PBE.

abc: 5.6777 7.5185 5.0430
angles: 90.00 90.00 90.00
With the nearest neighbours (Å) after each atom.
Sites, in units of the cell vectors:
Gd: 0.0455 0.1377 0.0000  1 N 2.31, 4 O 2.31-2.57
Gd: 0.4545 0.1377 0.5000  1 N 2.31, 4 O 2.31-2.57
Gd: 0.5455 0.8623 0.0000  1 N 2.31, 4 O 2.31-2.57
Gd: 0.9545 0.8623 0.5000  1 N 2.31, 4 O 2.31-2.57
Al: 0.0848 0.5933 0.9508  3 N 1.86-1.87, 1 O 1.87
Al: 0.4152 0.5933 0.4508  3 N 1.86-1.87, 1 O 1.87
Al: 0.5848 0.4067 0.9508  3 N 1.86-1.87, 1 O 1.87
Al: 0.9152 0.4067 0.4508  3 N 1.86-1.87, 1 O 1.87
N: 0.1098 0.5842 0.5821  3 Al 1.86-1.87
N: 0.3902 0.5842 0.0822  3 Al 1.86-1.87
N: 0.6098 0.4158 0.5821  3 Al 1.86-1.87
N: 0.8902 0.4158 0.0822  3 Al 1.86-1.87
O: 0.0527 0.1830 0.5056  1 Al 1.87
O: 0.4473 0.1830 0.0056  1 Al 1.87
O: 0.5527 0.8170 0.5056  1 Al 1.87
O: 0.9473 0.8170 0.0056  1 Al 1.87

Crystal system: orthorhombic
Polymorph energy (0 for the lowest one), eV per atom: 0.005
Calculated density, g/cm³: 6.6

---

3.
Crystalline GdAlNO at its relaxed geometry, computed with PBE.

abc: 3.4101 6.0047 5.2609
angles: 90.00 90.00 90.00
With the nearest neighbours (Å) after each atom.
Sites, in units of the cell vectors:
Gd: 0.0000 0.1942 0.0000  2 N 2.23-2.49
Gd: 0.0000 0.8058 0.5000  2 N 2.23-2.49
Al: 0.5000 0.3067 0.4992  2 O 1.80-1.81, 2 N 1.88
Al: 0.5000 0.6933 0.9992  2 O 1.80-1.81, 2 N 1.88
N: 0.0000 0.1763 0.4731  2 Al 1.88
N: 0.0000 0.8237 0.9731  2 Al 1.88
O: 0.5000 0.4471 0.8020  2 Al 1.80-1.81
O: 0.5000 0.5529 0.3020  2 Al 1.80-1.81

Crystal system: orthorhombic
Polymorph energy (0 for the lowest one), eV per atom: 0.000
Calculated density, g/cm³: 6.6

---

4.
Crystalline GdAlNO at its relaxed geometry, computed with PBE.

abc: 3.5753 5.2124 5.5120
angles: 90.00 90.00 90.00
With the nearest neighbours (Å) after each atom.
Sites, in units of the cell vectors:
Gd: 0.0000 0.2189 0.0000  1 O 2.34, 4 N 2.51-2.54
Gd: 0.0000 0.7811 0.5000  1 O 2.34, 4 N 2.51-2.54
Al: 0.5000 0.2448 0.4882  2 O 1.85, 2 N 1.87-1.89
Al: 0.5000 0.7552 0.9882  2 O 1.85, 2 N 1.87-1.89
N: 0.5000 0.0115 0.7460  2 Al 1.87-1.89
N: 0.5000 0.9885 0.2460  2 Al 1.87-1.89
O: 0.0000 0.3324 0.4702  2 Al 1.85
O: 0.0000 0.6676 0.9702  2 Al 1.85

Crystal system: orthorhombic
Polymorph energy (0 for the lowest one), eV per atom: 0.030
Calculated density, g/cm³: 6.9

---

5.
Crystalline GdAlNO at its relaxed geometry, computed with PBE.

abc: 3.7951 3.7951 8.5254
angles: 90.00 90.00 90.00
With the nearest neighbours (Å) after each atom.
Sites, in units of the cell vectors:
Gd: 0.2500 0.2500 0.1379  4 O 2.23
Gd: 0.7500 0.7500 0.8621  4 O 2.23
Al: 0.2500 0.7500 0.5000  4 N 1.97
Al: 0.7500 0.2500 0.5000  4 N 1.97
N: 0.2500 0.2500 0.4389  4 Al 1.97
N: 0.7500 0.7500 0.5611  4 Al 1.97
O: 0.2500 0.7500 0.0000  4 Gd 2.23
O: 0.7500 0.2500 0.0000  4 Gd 2.23

Crystal system: tetragonal
Polymorph energy (0 for the lowest one), eV per atom: 0.124
Calculated density, g/cm³: 5.8

---

6.
Crystalline NaGdAlSe3 at its relaxed geometry, computed with PBE.

abc: 7.2718 7.2718 11.0032
angles: 90.00 90.00 148.18
With the nearest neighbours (Å) after each atom.
Sites, in units of the cell vectors:
Na: 0.2462 0.7538 0.7500  6 Se 3.09-3.24
Na: 0.7538 0.2462 0.2500  6 Se 3.09-3.24
Gd: 0.0000 0.0000 0.0000  6 Se 2.93-2.96
Gd: 0.0000 0.0000 0.5000  6 Se 2.93-2.96
Al: 0.4645 0.5355 0.2500  4 Se 2.40-2.49
Al: 0.5355 0.4645 0.7500  4 Se 2.40-2.49
Se: 0.0713 0.9287 0.2500  2 Al 2.49
Se: 0.3570 0.6430 0.0796  1 Al 2.40
Se: 0.3570 0.6430 0.4204  1 Al 2.40
Se: 0.6430 0.3570 0.5796  1 Al 2.40
Se: 0.6430 0.3570 0.9204  1 Al 2.40
Se: 0.9287 0.0713 0.7500  2 Al 2.49

Crystal system: orthorhombic
Energy, eV/atom: -4.54
Calculated density, g/cm³: 4.8

---

7.
Crystalline GdNbAl at its relaxed geometry, computed with PBE.

abc: 4.7849 4.7849 4.7849
angles: 60.00 60.00 60.00
With the nearest neighbours (Å) after each atom.
Sites, in units of the cell vectors:
Gd: 0.0000 0.0000 0.0000  4 Nb 2.93
Nb: 0.7500 0.7500 0.7500  4 Al 2.93, 4 Gd 2.93
Al: 0.5000 0.5000 0.5000  4 Nb 2.93

Crystal system: cubic
Energy, eV/atom: -5.48
Calculated density, g/cm³: 5.9

---

8.
Crystalline NdGdAl6 at its relaxed geometry, computed with PBE.

abc: 6.4396 6.4396 4.5893
angles: 90.00 90.00 120.00
With the nearest neighbours (Å) after each atom.
Sites, in units of the cell vectors:
Nd: 0.0000 0.0000 0.0000  12 Al 3.13-3.23
Gd: 0.3333 0.6667 0.5000  12 Al 3.11-3.23
Al: 0.3817 0.1909 0.5000  6 Al 2.75-2.80
Al: 0.5220 0.0440 0.0000  6 Al 2.79-2.80, 2 Gd 3.11
Al: 0.5220 0.4780 0.0000  6 Al 2.79-2.80, 2 Gd 3.11
Al: 0.8091 0.1909 0.5000  6 Al 2.75-2.80
Al: 0.8091 0.6183 0.5000  6 Al 2.75-2.80
Al: 0.9560 0.4780 0.0000  6 Al 2.79-2.80, 2 Gd 3.11

Crystal system: hexagonal
Energy, eV/atom: -4.43
Calculated density, g/cm³: 4.7

---

9.
Crystalline NdGdAl2 at its relaxed geometry, computed with PBE.

abc: 4.2327 6.1238 6.1238
angles: 43.02 90.00 90.00
With the nearest neighbours (Å) after each atom.
Sites, in units of the cell vectors:
Nd: 0.0000 0.0000 0.0000  7 Al 3.20-3.31
Gd: 0.5000 0.2817 0.2817  7 Al 3.18-3.32
Al: 0.0000 0.7135 0.7135  2 Al 2.65
Al: 0.5000 0.5733 0.5733  2 Al 2.65

Crystal system: orthorhombic
Energy, eV/atom: -4.59
Calculated density, g/cm³: 5.5

---

10.
Crystalline NdGdAl2Ni4 at its relaxed geometry, computed with PBE.

abc: 4.1653 4.1653 9.0426
angles: 90.00 90.00 120.00
With the nearest neighbours (Å) after each atom.
Sites, in units of the cell vectors:
Nd: 0.0000 0.0000 0.0000  8 Ni 2.88-2.98
Gd: 0.6667 0.3333 0.5000  8 Ni 2.76-2.91
Al: 0.3333 0.6667 0.2565  6 Ni 2.47
Al: 0.3333 0.6667 0.7435  6 Ni 2.47
Ni: 0.0000 0.0000 0.3181  3 Al 2.47, 3 Ni 2.65
Ni: 0.0000 0.0000 0.6819  3 Al 2.47, 3 Ni 2.65
Ni: 0.6667 0.3333 0.1943  3 Al 2.47, 3 Ni 2.65, 1 Gd 2.76
Ni: 0.6667 0.3333 0.8057  3 Al 2.47, 3 Ni 2.65, 1 Gd 2.76

Crystal system: hexagonal
Energy, eV/atom: -5.44
Calculated density, g/cm³: 7.2